(1)
# Mg3CuSe SCAN single point on PBEsol structure
data_Mg3CuSe
_chemical_formula_sum 'Mg3 Cu1 Se1'
_cell_length_a 4.926
_cell_length_b 4.926
_cell_length_c 4.926
_cell_angle_alpha 90.00
_cell_angle_beta 90.00
_cell_angle_gamma 90.00
_space_group_name_H-M_alt 'P m -3 m'
_space_group_IT_number 221
_space_group_name_Hall '-P 4 2 3'
loop_
_atom_site_label
_atom_site_type_symbol
_atom_site_fract_x
_atom_site_fract_y
_atom_site_fract_z
Mg1 Mg 0.000 0.000 0.500
Cu1 Cu 0.500 0.500 0.500
Se1 Se 0.000 0.000 0.000
# Theoretical density (g/cm³): 2.992
# Total magnetic moment (μB/atom): 0.00
# Formation energy without anion corrections (meV per atom): 226
# Crystal system: cubic

(2)
# LaAlCr2 SCAN single point on PBEsol structure
data_LaAlCr2
_chemical_formula_sum 'La1 Al1 Cr2'
_cell_length_a 3.343
_cell_length_b 3.343
_cell_length_c 6.451
_cell_angle_alpha 90.00
_cell_angle_beta 90.00
_cell_angle_gamma 90.00
_space_group_name_H-M_alt 'P 4/m m m'
_space_group_IT_number 123
_space_group_name_Hall '-P 4 2'
loop_
_atom_site_label
_atom_site_type_symbol
_atom_site_fract_x
_atom_site_fract_y
_atom_site_fract_z
La1 La 0.000 0.000 0.000
Al1 Al 0.000 0.000 0.500
Cr1 Cr 0.500 0.500 0.348
# Formation energy from the elements (eV per atom): 0.30
# Theoretical density (g/cm³): 6.216
# Total magnetic moment (μB/atom): 0.25
# Crystal system: tetragonal

(3)
# Sr2SnBr SCAN single point on PBEsol structure
data_Sr2SnBr
_chemical_formula_sum 'Sr8 Sn4 Br4'
_cell_length_a 7.998
_cell_length_b 7.998
_cell_length_c 7.998
_cell_angle_alpha 90.00
_cell_angle_beta 90.00
_cell_angle_gamma 90.00
_space_group_name_H-M_alt 'F m -3 m'
_space_group_IT_number 225
_space_group_name_Hall '-F 4 2 3'
loop_
_atom_site_label
_atom_site_type_symbol
_atom_site_fract_x
_atom_site_fract_y
_atom_site_fract_z
Sr1 Sr 0.250 0.250 0.250
Sn1 Sn 0.000 0.000 0.000
Br1 Br 0.000 0.000 0.500
# Theoretical density (g/cm³): 4.854
# Total magnetic moment (μB/atom): 0.26
# Formation energy without anion corrections (meV per atom): -1048
# Crystal system: cubic

(4)
# LiTa2As SCAN single point on PBEsol structure
data_LiTa2As
_chemical_formula_sum 'Li2 Ta4 As2'
_cell_length_a 3.493
_cell_length_b 4.609
_cell_length_c 8.557
_cell_angle_alpha 90.00
_cell_angle_beta 90.00
_cell_angle_gamma 90.00
_space_group_name_H-M_alt 'C m m 2'
_space_group_IT_number 35
_space_group_name_Hall 'C 2 -2'
loop_
_atom_site_label
_atom_site_type_symbol
_atom_site_fract_x
_atom_site_fract_y
_atom_site_fract_z
Li1 Li 0.000 0.000 0.000
Ta1 Ta 0.000 0.000 0.542
Ta2 Ta 0.000 0.500 0.289
As1 As 0.000 0.500 0.769
# Formation energy from the elements (eV per atom): -0.10
# Theoretical density (g/cm³): 10.698
# Total magnetic moment (μB/atom): 0.00
# Crystal system: orthorhombic

(5)
# Cs2YTlF6 SCAN single point on PBEsol structure
data_Cs2YTlF6
_chemical_formula_sum 'Cs8 Y4 Tl4 F24'
_cell_length_a 9.572
_cell_length_b 9.572
_cell_length_c 9.572
_cell_angle_alpha 90.00
_cell_angle_beta 90.00
_cell_angle_gamma 90.00
_space_group_name_H-M_alt 'F m -3 m'
_space_group_IT_number 225
_space_group_name_Hall '-F 4 2 3'
loop_
_atom_site_label
_atom_site_type_symbol
_atom_site_fract_x
_atom_site_fract_y
_atom_site_fract_z
Cs1 Cs 0.250 0.250 0.250
Y1 Y 0.000 0.000 0.000
Tl1 Tl 0.000 0.000 0.500
F1 F 0.000 0.000 0.225
# Theoretical density (g/cm³): 5.098
# Total magnetic moment (μB/atom): 0.00
# Formation energy without anion corrections (meV per atom): -3309
# Crystal system: cubic

(6)
# DySi2Pt2 SCAN single point on PBEsol structure
data_DySi2Pt2
_chemical_formula_sum 'Dy2 Si4 Pt4'
_cell_length_a 4.188
_cell_length_b 4.188
_cell_length_c 9.836
_cell_angle_alpha 90.00
_cell_angle_beta 90.00
_cell_angle_gamma 90.00
_space_group_name_H-M_alt 'I 4/m m m'
_space_group_IT_number 139
_space_group_name_Hall '-I 4 2'
loop_
_atom_site_label
_atom_site_type_symbol
_atom_site_fract_x
_atom_site_fract_y
_atom_site_fract_z
Dy1 Dy 0.000 0.000 0.000
Si1 Si 0.000 0.500 0.250
Pt1 Pt 0.000 0.000 0.366
# Theoretical density (g/cm³): 11.720
# Total magnetic moment (μB/atom): 0.00
# Formation energy without anion corrections (meV per atom): -1209
# Crystal system: tetragonal

(7)
# NiAgW2 SCAN single point on PBEsol structure
data_NiAgW2
_chemical_formula_sum 'Ni2 Ag2 W4'
_cell_length_a 3.915
_cell_length_b 3.915
_cell_length_c 7.603
_cell_angle_alpha 90.00
_cell_angle_beta 90.00
_cell_angle_gamma 90.00
_space_group_name_H-M_alt 'I -4 m 2'
_space_group_IT_number 119
_space_group_name_Hall 'I -4 -2'
loop_
_atom_site_label
_atom_site_type_symbol
_atom_site_fract_x
_atom_site_fract_y
_atom_site_fract_z
Ni1 Ni 0.000 0.000 0.000
Ag1 Ag 0.000 0.500 0.750
W1 W 0.000 0.000 0.500
W2 W 0.000 0.500 0.250
# Formation energy from the elements (eV per atom): 0.62
# Theoretical density (g/cm³): 15.224
# Total magnetic moment (μB/atom): 0.00
# Crystal system: tetragonal

(8)
# ZrTePO2 SCAN single point on PBEsol structure
data_ZrTePO2
_chemical_formula_sum 'Zr1 Te1 P1 O2'
_cell_length_a 3.984
_cell_length_b 3.984
_cell_length_c 5.770
_cell_angle_alpha 90.00
_cell_angle_beta 90.00
_cell_angle_gamma 90.00
_space_group_name_H-M_alt 'P 4/m m m'
_space_group_IT_number 123
_space_group_name_Hall '-P 4 2'
loop_
_atom_site_label
_atom_site_type_symbol
_atom_site_fract_x
_atom_site_fract_y
_atom_site_fract_z
Zr1 Zr 0.000 0.000 0.000
Te1 Te 0.500 0.500 0.500
P1 P 0.000 0.000 0.500
O1 O 0.000 0.500 0.000
# Theoretical density (g/cm³): 5.109
# Total magnetic moment (μB/atom): 0.16
# Formation energy without anion corrections (meV per atom): -1473
# Crystal system: tetragonal

(9)
# RePdSeN2 SCAN single point on PBEsol structure
data_RePdSeN2
_chemical_formula_sum 'Re1 Pd1 Se1 N2'
_cell_length_a 3.767
_cell_length_b 3.767
_cell_length_c 5.325
_cell_angle_alpha 90.00
_cell_angle_beta 90.00
_cell_angle_gamma 90.00
_space_group_name_H-M_alt 'P 4/m m m'
_space_group_IT_number 123
_space_group_name_Hall '-P 4 2'
loop_
_atom_site_label
_atom_site_type_symbol
_atom_site_fract_x
_atom_site_fract_y
_atom_site_fract_z
Re1 Re 0.000 0.000 0.000
Pd1 Pd 0.500 0.500 0.500
Se1 Se 0.000 0.000 0.500
N1 N 0.000 0.500 0.000
# Theoretical density (g/cm³): 8.780
# Total magnetic moment (μB/atom): 0.00
# Formation energy without anion corrections (meV per atom): 523
# Crystal system: tetragonal

(10)
# GePdI2O SCAN single point on PBEsol structure
data_GePdI2O
_chemical_formula_sum 'Ge1 Pd1 I2 O1'
_cell_length_a 5.465
_cell_length_b 5.465
_cell_length_c 3.841
_cell_angle_alpha 90.00
_cell_angle_beta 90.00
_cell_angle_gamma 90.00
_space_group_name_H-M_alt 'P 4/m m m'
_space_group_IT_number 123
_space_group_name_Hall '-P 4 2'
loop_
_atom_site_label
_atom_site_type_symbol
_atom_site_fract_x
_atom_site_fract_y
_atom_site_fract_z
Ge1 Ge 0.000 0.000 0.000
Pd1 Pd 0.500 0.500 0.500
I1 I 0.000 0.500 0.500
O1 O 0.500 0.500 0.000
# Theoretical density (g/cm³): 6.498
# Total magnetic moment (μB/atom): 0.16
# Formation energy without anion corrections (meV per atom): 153
# Crystal system: tetragonal

(11)
# SbTe2AsH SCAN single point on PBEsol structure
data_SbTe2AsH
_chemical_formula_sum 'Sb1 Te2 As1 H1'
_cell_length_a 5.230
_cell_length_b 5.230
_cell_length_c 3.820
_cell_angle_alpha 90.00
_cell_angle_beta 90.00
_cell_angle_gamma 90.00
_space_group_name_H-M_alt 'P 4/m m m'
_space_group_IT_number 123
_space_group_name_Hall '-P 4 2'
loop_
_atom_site_label
_atom_site_type_symbol
_atom_site_fract_x
_atom_site_fract_y
_atom_site_fract_z
Sb1 Sb 0.000 0.000 0.000
Te1 Te 0.000 0.500 0.500
As1 As 0.500 0.500 0.000
H1 H 0.000 0.000 0.500
# Theoretical density (g/cm³): 7.197
# Total magnetic moment (μB/atom): 0.00
# Crystal system: tetragonal
# VASP energy (eV per cell): -132.34

(12)
# Zn3Ag SCAN single point on PBEsol structure
data_Zn3Ag
_chemical_formula_sum 'Zn3 Ag1'
_cell_length_a 2.847
_cell_length_b 4.342
_cell_length_c 4.699
_cell_angle_alpha 90.00
_cell_angle_beta 90.00
_cell_angle_gamma 90.00
_space_group_name_H-M_alt 'P m m 2'
_space_group_IT_number 25
_space_group_name_Hall 'P 2 -2'
loop_
_atom_site_label
_atom_site_type_symbol
_atom_site_fract_x
_atom_site_fract_y
_atom_site_fract_z
Zn1 Zn 0.000 0.000 0.000
Zn2 Zn 0.000 0.500 0.332
Zn3 Zn 0.500 0.500 0.845
Ag1 Ag 0.500 0.000 0.503
# Formation energy from the elements (eV per atom): -0.03
# Theoretical density (g/cm³): 8.693
# Total magnetic moment (μB/atom): 0.00
# Crystal system: orthorhombic

(13)
# Ba2AlO SCAN single point on PBEsol structure
data_Ba2AlO
_chemical_formula_sum 'Ba8 Al4 O4'
_cell_length_a 7.683
_cell_length_b 7.683
_cell_length_c 7.683
_cell_angle_alpha 90.00
_cell_angle_beta 90.00
_cell_angle_gamma 90.00
_space_group_name_H-M_alt 'F m -3 m'
_space_group_IT_number 225
_space_group_name_Hall '-F 4 2 3'
loop_
_atom_site_label
_atom_site_type_symbol
_atom_site_fract_x
_atom_site_fract_y
_atom_site_fract_z
Ba1 Ba 0.250 0.250 0.250
Al1 Al 0.000 0.000 0.000
O1 O 0.000 0.000 0.500
# Theoretical density (g/cm³): 4.653
# Total magnetic moment (μB/atom): 0.70
# Formation energy without anion corrections (meV per atom): -413
# Crystal system: cubic